This record from Alexandria via LeMat-Bulk describes a relaxed CdPd5Au6 crystal. The functional is PBE-GGA.

Cell lengths 7.602, 7.602, 7.602 Å; angles 148.37, 115.96, 73.19 degrees
Positions (direct):
Cd: 0.000 0.000 0.000
Pd: 0.162 0.662 0.500
Pd: 0.330 0.330 0.000
Pd: 0.500 0.000 0.500
Pd: 0.670 0.670 0.000
Pd: 0.838 0.338 0.500
Au: 0.087 0.832 0.255
Au: 0.260 0.500 0.760
Au: 0.424 0.168 0.255
Au: 0.576 0.832 0.745
Au: 0.740 0.500 0.240
Au: 0.913 0.168 0.745

Properties
DFT total energy   -48.22 eV for the cell shown
Fermi-level density of states   5.878 states/eV per cell
M_tot   0.00 Bohr magnetons per cell
Crystal system   orthorhombic

***

This record from Alexandria via LeMat-Bulk describes a relaxed FeSiHg2 crystal. The functional is PBE-GGA.

Cell lengths 2.789, 3.707, 7.741 Å; angles 90.00, 100.06, 90.00 degrees
Positions (direct):
Fe: 0.000 0.000 0.000
Si: 0.512 0.500 0.025
Hg: 0.174 0.500 0.362
Hg: 0.343 0.000 0.681

Properties
Fermi-level density of states   2.083 states/eV per cell
M_tot   1.12 Bohr magnetons per cell
ΔE_f (raw)   194.4 meV/atom
Crystal system   monoclinic